# 1
Below is a relaxed structure of Ba3Pd3Pb, with properties calculated at the PBE level.

Calculated values
formation energy	-0.531	eV per atom
uncorrected energy	-4.11	eV per atom
energy above the lowest structure with this stoichiometry	0.000	eV/atom
space-group type	Cmcm, No. 63

a = 4.6340 Å, b = 6.3944 Å, c = 15.4936 Å
α = 90.00°, β = 90.00°, γ = 111.24°
Last column: nearest neighbours and their distance in Å.
Element x y z (fractional)
Pd  0.9225  0.8450  0.9041  1 Pd 2.83, 2 Pb 2.90
Pd  0.9225  0.8450  0.5959  1 Pd 2.83, 2 Pb 2.90
Pd  0.2043  0.4085  0.2500  2 Pd 2.83
Pd  0.0775  0.1550  0.4041  1 Pd 2.83, 2 Pb 2.90
Pd  0.0775  0.1550  0.0959  1 Pd 2.83, 2 Pb 2.90
Pd  0.7957  0.5915  0.7500  2 Pd 2.83
Ba  0.7864  0.5729  0.3968  6 Pd 3.39-3.49, 3 Pb 3.77-3.80
Ba  0.2136  0.4271  0.8968  6 Pd 3.39-3.49, 3 Pb 3.77-3.80
Ba  0.5062  0.0124  0.2500  7 Pd 3.31-3.60
Ba  0.7864  0.5729  0.1032  6 Pd 3.39-3.49, 3 Pb 3.77-3.80
Ba  0.4938  0.9876  0.7500  7 Pd 3.31-3.60
Ba  0.2136  0.4271  0.6032  6 Pd 3.39-3.49, 3 Pb 3.77-3.80
Pb  0.5000  0.0000  0.5000  4 Pd 2.90
Pb  0.5000  0.0000  0.0000  4 Pd 2.90

# 2
Below is a relaxed structure of BaPd2Pb4, with properties calculated at the PBE level.

Calculated values
formation energy	-0.267	eV per atom
uncorrected energy	-4.14	eV per atom
energy above the lowest structure with this stoichiometry	0.126	eV/atom
space-group type	Cmmm, No. 65

a = 5.3225 Å, b = 5.2998 Å, c = 7.4749 Å
α = 110.76°, β = 90.00°, γ = 90.00°
Last column: nearest neighbours and their distance in Å.
Element x y z (fractional)
Pb  0.5000  0.1747  0.3495  3 Pd 2.85-3.15
Pb  0.0000  0.3196  0.6392  2 Pd 2.89
Pb  0.0000  0.6804  0.3608  2 Pd 2.89
Pb  0.5000  0.8253  0.6505  3 Pd 2.85-3.15
Ba  0.0000  0.0000  0.0000  8 Pb 3.61-3.66, 8 Pd 4.01
Pd  0.5000  0.5996  0.1992  1 Pd 2.78, 4 Pb 2.85-2.89
Pd  0.5000  0.4004  0.8008  1 Pd 2.78, 4 Pb 2.85-2.89

# 3
Below is a relaxed structure of Ba3PdPb, with properties calculated at the PBE level.

Calculated values
formation energy	-0.372	eV per atom
uncorrected energy	-3.31	eV per atom
energy above the lowest structure with this stoichiometry	0.074	eV/atom
space-group type	Pm-3m, No. 221

a = 6.0823 Å, b = 6.0823 Å, c = 6.0823 Å
α = 90.00°, β = 90.00°, γ = 90.00°
Last column: nearest neighbours and their distance in Å.
Element x y z (fractional)
Pd  0.0000  0.0000  0.0000  6 Ba 3.04
Ba  0.0000  0.5000  0.0000  2 Pd 3.04
Ba  0.0000  0.0000  0.5000  2 Pd 3.04
Ba  0.5000  0.0000  0.0000  2 Pd 3.04
Pb  0.5000  0.5000  0.5000  12 Ba 4.30

# 4
Below is a relaxed structure of Ba2Pd3Pb4, with properties calculated at the PBE level.

Calculated values
formation energy	-0.440	eV per atom
uncorrected energy	-4.25	eV per atom
space-group type	Fmmm, No. 69

a = 6.4373 Å, b = 6.4373 Å, c = 7.8760 Å
α = 100.61°, β = 100.61°, γ = 123.32°
Last column: nearest neighbours and their distance in Å.
Element x y z (fractional)
Pb  0.9817  0.3211  0.3027  3 Pd 2.83-2.92
Pb  0.6789  0.0183  0.6973  3 Pd 2.83-2.92
Pb  0.3211  0.9817  0.3027  3 Pd 2.83-2.92
Pb  0.0183  0.6789  0.6973  3 Pd 2.83-2.92
Pd  0.5000  0.0000  0.0000  4 Pb 2.83, 2 Pd 3.06
Pd  0.0000  0.0000  0.0000  4 Pb 2.92, 4 Pd 3.22
Pd  0.0000  0.5000  0.0000  4 Pb 2.83, 2 Pd 3.06
Ba  0.6287  0.6287  0.2574  6 Pd 3.58-3.72, 8 Pb 3.63-3.76, 1 Ba 3.74
Ba  0.3713  0.3713  0.7426  6 Pd 3.58-3.72, 8 Pb 3.63-3.76, 1 Ba 3.74

# 5
Below is a relaxed structure of Ba3Pd4Pb, with properties calculated at the PBE level.

Calculated values
formation energy	-0.477	eV per atom
uncorrected energy	-4.26	eV per atom
space-group type	Pnma, No. 62

a = 6.6530 Å, b = 11.4523 Å, c = 12.2026 Å
α = 90.00°, β = 90.00°, γ = 90.00°
Last column: nearest neighbours and their distance in Å.
Element x y z (fractional)
Pd  0.1012  0.9418  0.4147  2 Pd 2.82-2.92, 1 Pb 2.90
Pd  0.3988  0.5582  0.9147  2 Pd 2.82-2.92, 1 Pb 2.90
Pd  0.3988  0.9418  0.9147  2 Pd 2.82-2.92, 1 Pb 2.90
Pd  0.8988  0.0582  0.5853  2 Pd 2.82-2.92, 1 Pb 2.90
Pd  0.3543  0.7500  0.3390  3 Pd 2.69-2.92, 1 Pb 2.69
Pd  0.0466  0.7500  0.0524  1 Pd 2.69, 1 Pb 2.81
Pd  0.4534  0.7500  0.5523  1 Pd 2.69, 1 Pb 2.81
Pd  0.6012  0.4418  0.0853  2 Pd 2.82-2.92, 1 Pb 2.90
Pd  0.1457  0.7500  0.8390  3 Pd 2.69-2.92, 1 Pb 2.69
Pd  0.8988  0.4418  0.5853  2 Pd 2.82-2.92, 1 Pb 2.90
Pd  0.8543  0.2500  0.1610  3 Pd 2.69-2.92, 1 Pb 2.69
Pd  0.5466  0.2500  0.4476  1 Pd 2.69, 1 Pb 2.81
Pd  0.9534  0.2500  0.9477  1 Pd 2.69, 1 Pb 2.81
Pd  0.1012  0.5582  0.4147  2 Pd 2.82-2.92, 1 Pb 2.90
Pd  0.6457  0.2500  0.6610  3 Pd 2.69-2.92, 1 Pb 2.69
Pd  0.6012  0.0582  0.0853  2 Pd 2.82-2.92, 1 Pb 2.90
Ba  0.0474  0.2500  0.4170  5 Pd 3.17-3.38
Ba  0.5474  0.7500  0.0830  5 Pd 3.17-3.38
Ba  0.8832  0.9840  0.8576  6 Pd 3.21-3.53
Ba  0.4526  0.2500  0.9170  5 Pd 3.17-3.38
Ba  0.3832  0.0160  0.6425  6 Pd 3.21-3.53
Ba  0.1168  0.0160  0.1424  6 Pd 3.21-3.53
Ba  0.6168  0.9840  0.3575  6 Pd 3.21-3.53
Ba  0.8832  0.5160  0.8576  6 Pd 3.21-3.53
Ba  0.6168  0.5160  0.3575  6 Pd 3.21-3.53
Ba  0.9526  0.7500  0.5830  5 Pd 3.17-3.38
Ba  0.3832  0.4840  0.6425  6 Pd 3.21-3.53
Ba  0.1168  0.4840  0.1424  6 Pd 3.21-3.53
Pb  0.9653  0.7500  0.2784  4 Pd 2.69-2.90
Pb  0.5347  0.7500  0.7783  4 Pd 2.69-2.90
Pb  0.4653  0.2500  0.2217  4 Pd 2.69-2.90
Pb  0.0347  0.2500  0.7216  4 Pd 2.69-2.90

# 6
Below is a relaxed structure of Ba2Pd2Pb, with properties calculated at the PBE level.

Calculated values
formation energy	-0.380	eV per atom
uncorrected energy	-3.97	eV per atom
space-group type	I4/mmm, No. 139

a = 3.9293 Å, b = 3.9293 Å, c = 10.5253 Å
α = 79.24°, β = 79.24°, γ = 90.00°
Last column: nearest neighbours and their distance in Å.
Element x y z (fractional)
Pb  0.0000  0.0000  0.0000  8 Ba 3.75, 4 Pb 3.93
Pd  0.2500  0.7500  0.5000  4 Pd 2.78
Pd  0.7500  0.2500  0.5000  4 Pd 2.78
Ba  0.3763  0.3763  0.2474  4 Pd 3.23
Ba  0.6237  0.6237  0.7526  4 Pd 3.23

# 7
Below is a relaxed structure of Ba2Pd2Pb3, with properties calculated at the PBE level.

Calculated values
formation energy	-0.476	eV per atom
uncorrected energy	-4.10	eV per atom
energy above the lowest structure with this stoichiometry	0.000	eV/atom
space-group type	C2/m, No. 12

a = 4.6940 Å, b = 6.3305 Å, c = 8.4456 Å
α = 113.80°, β = 90.00°, γ = 111.76°
Last column: nearest neighbours and their distance in Å.
Element x y z (fractional)
Pb  0.5000  0.0000  0.0000  4 Pd 3.03, 2 Pb 3.35
Pb  0.6364  0.2729  0.4402  3 Pd 2.89-2.97
Pb  0.3636  0.7271  0.5598  3 Pd 2.89-2.97
Ba  0.8599  0.7198  0.2151  3 Pd 3.26-3.52
Ba  0.1401  0.2802  0.7849  3 Pd 3.26-3.52
Pd  0.1409  0.2818  0.2271  5 Pb 2.89-3.03
Pd  0.8591  0.7182  0.7729  5 Pb 2.89-3.03

# 8
Below is a relaxed structure of BaPd3Pb, with properties calculated at the PBE level.

Calculated values
formation energy	0.802	eV per atom
uncorrected energy	-3.44	eV per atom
energy above the lowest structure with this stoichiometry	1.232	eV/atom
space-group type	Pm-3m, No. 221

a = 5.3884 Å, b = 5.3884 Å, c = 5.3884 Å
α = 90.00°, β = 90.00°, γ = 90.00°
Last column: nearest neighbours and their distance in Å.
Element x y z (fractional)
Pb  0.5000  0.5000  0.5000  12 Pd 3.81
Pd  0.0000  0.5000  0.0000  2 Ba 2.69
Pd  0.5000  0.0000  0.0000  2 Ba 2.69
Pd  0.0000  0.0000  0.5000  2 Ba 2.69
Ba  0.0000  0.0000  0.0000  6 Pd 2.69

# 9
Below is a relaxed structure of Ba3Pd2Pb7, with properties calculated at the PBE level.

Calculated values
formation energy	-0.412	eV per atom
uncorrected energy	-3.92	eV per atom
space-group type	R-3m, No. 166

a = 6.7672 Å, b = 6.7672 Å, c = 10.4440 Å
α = 71.10°, β = 71.10°, γ = 60.00°
Last column: nearest neighbours and their distance in Å.
Element x y z (fractional)
Ba  0.0000  0.0000  0.0000  6 Pd 3.91, 12 Pb 4.00, 2 Ba 4.14
Ba  0.8575  0.8575  0.4275  12 Pb 3.92-3.97, 4 Ba 4.14-4.15
Ba  0.1425  0.1425  0.5725  12 Pb 3.92-3.97, 4 Ba 4.14-4.15
Pd  0.6633  0.6633  0.0102  6 Pb 2.84-2.94
Pd  0.3367  0.3367  0.9898  6 Pb 2.84-2.94
Pb  0.0671  0.5761  0.7806  2 Pd 2.84-2.94
Pb  0.5761  0.5761  0.7806  2 Pd 2.84-2.94
Pb  0.4239  0.9329  0.2194  2 Pd 2.84-2.94
Pb  0.4239  0.4239  0.2194  2 Pd 2.84-2.94
Pb  0.5000  0.5000  0.5000  6 Pb 3.37
Pb  0.5761  0.0671  0.7806  2 Pd 2.84-2.94
Pb  0.9329  0.4239  0.2194  2 Pd 2.84-2.94